[1]
Below is In2GaAg3 after structural relaxation, with properties calculated at the PBE level.

- E_form (meV/atom) = 24
- calculated total energy (eV per cell) = -33.8

Lattice parameters (Å, degrees): 5.753 6.706 6.709 101.03 90.00 90.00
Sites, in units of the cell vectors:
Ag1 0.015 0.645 0.355
In1 0.765 0.966 0.617
In2 0.265 0.383 0.034
Ga1 0.265 0.725 0.725
Ag2 0.515 0.645 0.355
Ag3 0.015 0.000 0.000
Ag4 0.015 0.355 0.645
Ag5 0.515 0.355 0.645
In3 0.265 0.034 0.383
In4 0.765 0.617 0.966
Ag6 0.515 0.000 0.000
Ga2 0.765 0.275 0.275

[2]
Below is Sm5YGa6 after structural relaxation, with properties calculated at the PBE level.

- E_form (meV/atom) = -576
- calculated total energy (eV per cell) = -55.1

Lattice parameters (Å, degrees): 5.139 8.909 8.916 60.03 73.21 54.67
Sites, in units of the cell vectors:
Ga1 0.246 0.589 0.330
Sm1 0.000 0.666 0.669
Sm2 0.500 0.831 0.338
Ga2 0.754 0.411 0.670
Ga3 0.246 0.918 0.670
Y1 0.000 0.000 0.000
Ga4 0.257 0.243 0.000
Sm3 0.500 0.169 0.662
Ga5 0.743 0.757 0.000
Ga6 0.754 0.082 0.330
Sm4 0.000 0.334 0.331
Sm5 0.500 0.500 0.000